A relaxed structure of Rb3Sn4Ge, computed with GGA-PBE.

Results
Energy relative to the elements   -0.18 eV/atom

Structure (extended XYZ):
```
16
Lattice="6.9634 0.0000 0.0000 0.0000 13.7079 0.0000 0.0000 0.0000 6.6591" Properties=species:S:1:pos:R:3 pbc="T T T"
Rb 1.7409 0.0107 1.1988
Rb 1.7409 3.4270 3.6499
Rb 1.7409 6.8432 1.1988
Rb 5.2226 6.8647 5.4603
Rb 5.2226 10.2810 3.0092
Rb 5.2226 13.6972 5.4603
Sn 0.0039 10.2810 6.4175
Sn 1.7409 8.6948 4.4846
Sn 1.7409 11.8671 4.4846
Sn 3.4778 10.2810 6.4175
Sn 3.4856 3.4270 0.2417
Sn 5.2226 1.8408 2.1745
Sn 5.2226 5.0132 2.1745
Sn 6.9595 3.4270 0.2417
Ge 1.7409 10.2810 2.0681
Ge 5.2226 3.4270 4.5910
```